VASP calculation (GGA-PBEsol) on Mn2NiOs after structural relaxation.

Summary:
SG   No. 216
Size of the total moment   0.947 μB/atom
Raw total energy   -9.225 eV per atom
DFT formation energy   96 kJ/mol of formula units

Cell lengths 4.062, 4.062, 4.062 Å; angles 60.00, 60.00, 60.00 degrees
Last column: magnetic moment on the atom in μB.
Positions (direct):
Mn 0.000 0.000 0.000  1.37
Mn 0.750 0.750 0.750  2.65
Ni 0.500 0.500 0.500  0.01
Os 0.250 0.250 0.250  -0.31